First-principles (PBE+U) data for a relaxed MnTl3Os2O9 crystal, as listed in Alexandria via LeMat-Bulk.

Geometry as CIF:
```
data_MnTl3Os2O9
_chemical_formula_sum 'Mn1 Tl3 Os2 O9'
_symmetry_space_group_name_H-M 'P 1'
_symmetry_Int_Tables_number 1
_symmetry_space_group_name_Hall 'P 1'
_cell_length_a 5.7301
_cell_length_b 5.7301
_cell_length_c 7.1012
_cell_angle_alpha 90.00
_cell_angle_beta 90.00
_cell_angle_gamma 120.00
loop_
_atom_site_label
_atom_site_type_symbol
_atom_site_fract_x
_atom_site_fract_y
_atom_site_fract_z
Mn1 Mn 0.0000 0.0000 0.0000
Tl1 Tl 0.0000 0.0000 0.5000
Tl2 Tl 0.3333 0.6667 0.1471
Tl3 Tl 0.6667 0.3333 0.8529
Os1 Os 0.3333 0.6667 0.6588
Os2 Os 0.6667 0.3333 0.3412
O1 O 0.0000 0.5000 0.5000
O2 O 0.1778 0.3556 0.8103
O3 O 0.1778 0.8222 0.8103
O4 O 0.3556 0.1778 0.1897
O5 O 0.5000 0.0000 0.5000
O6 O 0.5000 0.5000 0.5000
O7 O 0.6444 0.8222 0.8103
O8 O 0.8222 0.1778 0.1897
O9 O 0.8222 0.6444 0.1897
```

Computed properties:
uncorrected energy: -96.000 eV/cell
space-group type: P-3m1